# 1
CaY5, relaxed, DFT GGA-PBEsol; calculated density = 4.01 g cm⁻³; volume = 33.483 A^3/atom; crystal system = cubic; E_form = 0.227 eV per atom
1.0
0.0000 4.6485 4.6485
4.6485 0.0000 4.6485
4.6485 4.6485 0.0000
Ca Y
1 5
direct
0.0000 0.0000 0.0000
0.1298 0.6234 0.6234
0.2500 0.2500 0.2500
0.6234 0.1298 0.6234
0.6234 0.6234 0.1298
0.6234 0.6234 0.6234

=====

# 2
CaY2Zn, relaxed, DFT GGA-PBEsol; calculated density = 4.28 g cm⁻³; volume = 27.502 A^3/atom; crystal system = orthorhombic; E_form = -0.043 eV per atom
1.0
3.6678 0.0000 0.0000
0.0000 5.2877 0.0000
0.0000 0.0000 11.3444
Ca Y Zn
2 4 2
direct
0.0000 0.0000 0.0000
0.5000 0.5000 0.5000
0.0000 0.0000 0.5848
0.0000 0.5000 0.7915
0.5000 0.0000 0.2915
0.5000 0.5000 0.0848
0.0000 0.5000 0.2861
0.5000 0.0000 0.7861

=====

# 3
CaY2Zn, relaxed, DFT GGA-PBEsol; calculated density = 4.28 g cm⁻³; volume = 27.459 A^3/atom; crystal system = monoclinic; E_form = 0.145 eV per atom
1.0
6.3916 0.0000 0.0000
0.0000 11.2719 0.0000
-1.4703 0.0000 3.0491
Ca Y Zn
2 4 2
direct
0.0000 0.0000 0.0000
0.5000 0.5000 0.0000
0.2500 0.2500 0.5000
0.2500 0.7500 0.5000
0.7500 0.2500 0.5000
0.7500 0.7500 0.5000
0.0000 0.5000 0.0000
0.5000 0.0000 0.0000

=====

# 4
CaYZn, relaxed, DFT GGA-PBEsol; calculated density = 4.00 g cm⁻³; volume = 26.890 A^3/atom; crystal system = tetragonal; E_form = -0.164 eV per atom
1.0
3.5587 0.0000 0.0000
0.0000 3.5587 0.0000
0.0000 0.0000 12.7398
Ca Y Zn
2 2 2
direct
0.0000 0.0000 0.0000
0.5000 0.5000 0.5000
0.0000 0.0000 0.2741
0.5000 0.5000 0.7741
0.0000 0.0000 0.6492
0.5000 0.5000 0.1492

=====

# 5
Ca2YZn, relaxed, DFT GGA-PBEsol; calculated density = 3.24 g cm⁻³; volume = 30.068 A^3/atom; crystal system = tetragonal; E_form = -0.117 eV per atom
1.0
3.5976 0.0000 0.0000
0.0000 3.5976 0.0000
0.0000 0.0000 9.2925
Ca Y Zn
2 1 1
direct
0.0000 0.0000 0.0000
0.5000 0.5000 0.3291
0.5000 0.5000 0.7002
0.0000 0.0000 0.5298

=====

# 6
CaYZn2, relaxed, DFT GGA-PBEsol; calculated density = 5.11 g cm⁻³; volume = 21.125 A^3/atom; crystal system = cubic; E_form = 0.057 eV per atom
1.0
6.9658 0.0000 0.0000
0.0000 6.9658 0.0000
0.0000 0.0000 6.9658
Ca Y Zn
4 4 8
direct
0.0000 0.0000 0.0000
0.0000 0.5000 0.5000
0.5000 0.0000 0.5000
0.5000 0.5000 0.0000
0.2500 0.2500 0.7500
0.2500 0.7500 0.2500
0.7500 0.2500 0.2500
0.7500 0.7500 0.7500
0.0000 0.0000 0.5000
0.0000 0.5000 0.0000
0.2500 0.2500 0.2500
0.2500 0.7500 0.7500
0.5000 0.0000 0.0000
0.5000 0.5000 0.5000
0.7500 0.2500 0.7500
0.7500 0.7500 0.2500

=====

Q: What is the volume in the fourth record?
A: 26.890 A^3/atom

=====

Q: Among the records above, which one has the highest E_form?
A: CaY5

=====

Q: What is the E_form in the fifth record?
A: -0.117 eV per atom

=====

Q: What is the calculated density in the sixth record?
A: 5.11 g cm⁻³